A relaxed Co2Pt crystal. Source: OQMD, functional GGA-PBE.

Geometry as extended XYZ:
```
6
Lattice="5.035 0.000 0.000 0.000 5.035 0.000 0.000 0.000 4.190" Properties=species:S:1:pos:R:3 pbc="T T T"
Co 0.851 0.851 0.000
Co 1.667 3.369 2.095
Co 3.369 1.667 2.095
Co 4.185 4.185 0.000
Pt 0.000 0.000 2.095
Pt 2.518 2.518 0.000
```

Crystal system: tetragonal
E_form: 1.016 eV per atom
Calculated total energy: -34.4 eV for the cell shown
Total magnetization: 8.5 μB/cell

---

A relaxed PrHf2Pb2 crystal. Source: OQMD, functional GGA-PBE.

Geometry as extended XYZ:
```
5
Lattice="-2.239 2.239 6.705 2.239 -2.239 6.705 2.239 2.239 -6.705" Properties=species:S:1:pos:R:3 pbc="T T T"
Pr 0.000 0.000 0.000
Hf 2.239 0.000 3.353
Hf 0.000 2.239 3.353
Pb 0.000 0.000 5.264
Pb 0.000 0.000 8.147
```

Crystal system: tetragonal
Calculated total energy: -32.6 eV for the cell shown
Total magnetization: 0.0 μB/cell

---

A relaxed Nd2NiB10 crystal. Source: OQMD, functional GGA-PBE.

Geometry as extended XYZ:
```
26
Lattice="5.625 0.000 0.000 0.000 11.205 0.000 0.000 0.000 4.187" Properties=species:S:1:pos:R:3 pbc="T T T"
Nd 1.066 1.537 0.000
Nd 1.747 7.139 0.000
Nd 3.878 4.066 0.000
Nd 4.559 9.668 0.000
Ni 0.000 5.603 2.093
Ni 2.812 0.000 2.093
B 0.191 3.503 2.093
B 0.707 10.742 2.093
B 0.882 8.990 2.093
B 1.137 4.324 0.836
B 1.137 4.324 3.351
B 1.675 9.927 0.836
B 1.675 9.927 3.351
B 1.931 3.388 2.093
B 2.105 5.140 2.093
B 2.622 9.105 2.093
B 3.003 2.100 2.093
B 3.520 6.065 2.093
B 3.694 7.817 2.093
B 3.950 1.279 0.836
B 3.950 1.279 3.351
B 4.488 6.881 0.836
B 4.488 6.881 3.351
B 4.743 2.215 2.093
B 4.918 0.463 2.093
B 5.434 7.702 2.093
```

Crystal system: orthorhombic
Calculated total energy: -177.4 eV for the cell shown
Total magnetization: 0.0 μB/cell

---

A relaxed BaGdPb2 crystal. Source: OQMD, functional GGA-PBE.

Geometry as extended XYZ:
```
4
Lattice="4.614 0.000 0.000 0.000 2.465 6.281 0.000 -2.465 6.281" Properties=species:S:1:pos:R:3 pbc="T T T"
Ba 0.000 0.000 0.000
Gd 2.307 0.000 3.302
Pb 0.000 0.000 9.218
Pb 2.307 0.000 7.051
```

Crystal system: orthorhombic
Calculated total energy: -15.6 eV for the cell shown
Total magnetization: 0.0 μB/cell

---

A relaxed RbLaCuTe3 crystal. Source: OQMD, functional GGA-PBE.

Geometry as extended XYZ:
```
12
Lattice="2.215 -8.184 0.000 2.215 8.184 0.000 0.000 0.000 12.028" Properties=species:S:1:pos:R:3 pbc="T T T"
Rb 2.215 4.209 9.021
Rb 2.215 -4.209 3.007
La 2.215 0.000 0.000
La 2.215 0.000 6.014
Cu 2.215 7.632 3.007
Cu 2.215 -7.632 9.021
Te 2.215 6.053 0.895
Te 2.215 6.053 5.119
Te 2.215 0.993 3.007
Te 2.215 -0.993 9.021
Te 2.215 -6.053 6.909
Te 2.215 -6.053 11.133
```

Crystal system: orthorhombic
Calculated total energy: -49.4 eV for the cell shown
Total magnetization: 0.0 μB/cell

---

A relaxed NbI5 crystal. Source: OQMD, functional GGA-PBE.

Geometry as extended XYZ:
```
24
Lattice="10.953 0.000 0.000 0.000 6.534 0.000 -4.925 0.000 13.909" Properties=species:S:1:pos:R:3 pbc="T T T"
Nb 0.853 0.005 4.218
Nb -1.609 3.262 11.172
Nb 7.637 3.272 2.737
Nb 5.175 6.529 9.691
I -0.827 1.633 2.343
I -3.289 1.634 9.298
I 9.317 4.900 4.611
I 6.855 4.900 11.565
I -0.160 1.529 6.226
I -2.623 1.738 13.180
I -1.123 4.793 8.983
I 1.340 5.007 2.028
I 0.443 1.607 10.686
I 2.905 1.660 3.732
I 2.134 4.890 5.900
I -0.328 4.911 12.854
I 6.356 1.623 1.054
I 3.894 1.644 8.009
I 3.123 4.874 10.177
I 5.585 4.927 3.222
I 4.689 1.527 11.881
I 7.151 1.740 4.926
I 8.651 4.796 0.729
I 6.189 5.005 7.683
```

Crystal system: monoclinic
Calculated total energy: -80.7 eV for the cell shown
Total magnetization: 0.0 μB/cell
Distance to the lowest polymorph of the same formula: 0.0 meV per atom

---

A relaxed LiZnCoBi crystal. Source: OQMD, functional GGA-PBE.

Geometry as extended XYZ:
```
4
Lattice="0.000 3.137 3.137 3.137 0.000 3.137 3.137 3.137 0.000" Properties=species:S:1:pos:R:3 pbc="T T T"
Li 0.000 0.000 0.000
Zn 4.706 4.706 4.706
Co 3.137 3.137 3.137
Bi 1.569 1.569 1.569
```

Crystal system: cubic
Calculated total energy: -14.3 eV for the cell shown
Total magnetization: 0.0 μB/cell
Distance to the lowest polymorph of the same formula: 0.0 meV per atom

---

A relaxed NbZnRe crystal. Source: OQMD, functional GGA-PBE.

Geometry as extended XYZ:
```
3
Lattice="0.000 3.053 3.053 3.053 0.000 3.053 3.053 3.053 0.000" Properties=species:S:1:pos:R:3 pbc="T T T"
Nb 0.000 0.000 0.000
Zn 3.053 3.053 3.053
Re 1.527 1.527 1.527
```

Crystal system: cubic
E_form: 0.621 eV per atom
Calculated total energy: -21.9 eV for the cell shown
Total magnetization: 0.0 μB/cell
Distance to the lowest polymorph of the same formula: 0.0 meV per atom

---

A relaxed Nd2ErSb3 crystal. Source: OQMD, functional GGA-PBE.

Geometry as extended XYZ:
```
6
Lattice="4.462 0.000 0.000 -2.231 3.864 0.000 0.000 0.000 10.945" Properties=species:S:1:pos:R:3 pbc="T T T"
Nd 0.000 2.576 3.597
Nd 2.231 1.288 7.348
Er 0.000 0.000 0.000
Sb 0.000 0.000 5.473
Sb 0.000 2.576 9.225
Sb 2.231 1.288 1.720
```

Crystal system: trigonal
Calculated total energy: -33.4 eV for the cell shown
Total magnetization: 0.0 μB/cell

---

A relaxed LiZn2Au crystal. Source: OQMD, functional GGA-PBE.

Geometry as extended XYZ:
```
4
Lattice="0.000 3.091 3.091 3.091 0.000 3.091 3.091 3.091 0.000" Properties=species:S:1:pos:R:3 pbc="T T T"
Li 0.000 0.000 0.000
Zn 3.091 3.091 3.091
Zn 4.636 4.636 4.636
Au 1.545 1.545 1.545
```

Crystal system: cubic
Calculated total energy: -9.0 eV for the cell shown
Distance to the lowest polymorph of the same formula: 42.6 meV per atom

---

A relaxed AgSnNO crystal. Source: OQMD, functional GGA-PBE.

Geometry as extended XYZ:
```
16
Lattice="5.196 0.000 0.000 0.000 7.893 0.000 0.000 0.000 5.427" Properties=species:S:1:pos:R:3 pbc="T T T"
Ag 0.023 0.450 0.000
Ag 2.575 0.450 2.714
Ag 2.621 7.443 0.000
Ag 5.173 7.443 2.714
Sn 0.206 2.766 1.944
Sn 2.392 2.766 4.657
Sn 2.804 5.127 1.944
Sn 4.990 5.127 4.657
N 0.817 1.640 3.612
N 1.781 1.640 0.899
N 3.416 6.253 3.612
N 4.379 6.253 0.899
O 0.953 4.483 2.945
O 1.645 4.483 0.232
O 3.551 3.410 2.945
O 4.243 3.410 0.232
```

Crystal system: orthorhombic
Calculated total energy: -80.5 eV for the cell shown
Distance to the lowest polymorph of the same formula: 150.5 meV per atom

---

A relaxed RbSiPt crystal. Source: OQMD, functional GGA-PBE.

Geometry as extended XYZ:
```
3
Lattice="0.000 3.394 3.394 3.394 0.000 3.394 3.394 3.394 0.000" Properties=species:S:1:pos:R:3 pbc="T T T"
Rb 0.000 0.000 0.000
Si 3.394 3.394 3.394
Pt 1.697 1.697 1.697
```

Crystal system: cubic
Calculated total energy: -10.5 eV for the cell shown
Total magnetization: 0.0 μB/cell
Distance to the lowest polymorph of the same formula: 0.0 meV per atom

---

A relaxed KYCoSe3 crystal. Source: OQMD, functional GGA-PBE.

Geometry as extended XYZ:
```
12
Lattice="8.334 -2.101 0.000 8.334 2.101 0.000 -1.940 0.000 8.318" Properties=species:S:1:pos:R:3 pbc="T T T"
K 2.284 0.000 0.581
K 12.444 0.000 7.738
Y 1.678 0.000 4.892
Y 13.050 0.000 3.426
Co 7.769 0.000 2.457
Co 6.959 0.000 5.861
Se -0.970 0.000 4.159
Se 4.498 0.000 5.380
Se 5.458 0.000 1.711
Se 8.334 0.000 0.000
Se 9.270 0.000 6.608
Se 10.230 0.000 2.938
```

Crystal system: monoclinic
Calculated total energy: -61.7 eV for the cell shown
Total magnetization: 4.0 μB/cell

---

A relaxed Hf2InNi2Sb crystal. Source: OQMD, functional GGA-PBE.

Geometry as extended XYZ:
```
24
Lattice="10.576 0.000 0.000 0.000 4.321 0.000 -3.531 0.000 9.970" Properties=species:S:1:pos:R:3 pbc="T T T"
Hf 0.000 0.000 0.000
Hf -0.066 2.160 3.802
Hf 0.060 0.000 7.434
Hf 3.576 2.160 1.239
Hf 3.499 0.000 5.091
Hf 3.509 2.160 8.707
Hf 6.998 0.000 2.518
Hf 7.063 2.160 6.277
In 1.755 2.160 6.222
In 5.302 0.000 0.008
In 5.306 0.000 7.511
In 8.771 0.000 5.007
Ni -2.594 0.000 7.569
Ni 0.878 2.160 1.255
Ni 0.865 0.000 4.946
Ni 0.854 2.160 8.741
Ni 4.378 0.000 2.558
Ni 4.423 2.160 6.238
Ni 7.982 0.000 0.084
Ni 7.853 2.160 3.710
Sb -1.719 2.160 8.737
Sb 1.758 0.000 2.530
Sb 5.248 2.160 3.802
Sb 8.794 2.160 1.273
```

Crystal system: monoclinic
Calculated total energy: -164.7 eV for the cell shown
Total magnetization: 0.0 μB/cell
Distance to the lowest polymorph of the same formula: 18.7 meV per atom

---

A relaxed SrCo crystal. Source: OQMD, functional GGA-PBE.

Geometry as extended XYZ:
```
2
Lattice="0.000 3.342 3.342 3.342 0.000 3.342 3.342 3.342 0.000" Properties=species:S:1:pos:R:3 pbc="T T T"
Sr 0.000 0.000 0.000
Co 1.671 1.671 1.671
```

Crystal system: cubic
Calculated total energy: -5.9 eV for the cell shown
Total magnetization: 1.0 μB/cell

---

A relaxed ErTe3PbAu crystal. Source: OQMD, functional GGA-PBE.

Geometry as extended XYZ:
```
24
Lattice="14.622 0.000 0.000 0.000 4.307 0.000 0.000 0.000 11.564" Properties=species:S:1:pos:R:3 pbc="T T T"
Er 0.133 1.077 2.095
Er 7.178 3.230 7.878
Er 7.444 1.077 3.687
Er 14.488 3.230 9.469
Te 1.557 1.077 10.897
Te 1.803 3.230 7.174
Te 2.206 3.230 2.824
Te 5.105 1.077 8.606
Te 5.508 1.077 1.392
Te 5.754 3.230 5.115
Te 8.867 1.077 6.449
Te 9.114 3.230 10.172
Te 9.517 3.230 2.958
Te 12.416 1.077 8.740
Te 12.819 1.077 4.390
Te 13.065 3.230 0.667
Pb 3.261 1.077 5.122
Pb 4.049 3.230 10.904
Pb 10.572 1.077 0.660
Pb 11.360 3.230 6.442
Au 0.134 3.230 4.708
Au 7.177 1.077 10.490
Au 7.445 3.230 1.074
Au 14.488 1.077 6.856
```

Crystal system: orthorhombic
Calculated total energy: -100.6 eV for the cell shown
Total magnetization: 0.0 μB/cell
Distance to the lowest polymorph of the same formula: 0.0 meV per atom

---

A relaxed Y2CoCuC crystal. Source: OQMD, functional GGA-PBE.

Geometry as extended XYZ:
```
5
Lattice="4.952 0.000 0.000 0.000 4.952 0.000 0.000 0.000 3.607" Properties=species:S:1:pos:R:3 pbc="T T T"
Y 0.000 2.476 0.000
Y 2.476 0.000 0.000
Co 0.000 0.000 1.804
Cu 2.476 2.476 1.804
C 0.000 0.000 0.000
```

Crystal system: tetragonal
Calculated total energy: -34.6 eV for the cell shown
Total magnetization: 0.0 μB/cell

---

A relaxed KErAgTe3 crystal. Source: OQMD, functional GGA-PBE.

Geometry as extended XYZ:
```
12
Lattice="2.126 -8.196 0.000 2.126 8.196 0.000 0.000 0.000 11.317" Properties=species:S:1:pos:R:3 pbc="T T T"
K 2.126 4.226 8.488
K 2.126 -4.226 2.829
Er 0.000 0.000 0.000
Er 0.000 0.000 5.659
Ag 2.126 0.589 2.829
Ag 2.126 -0.589 8.488
Te 2.126 6.919 2.829
Te 2.126 2.151 0.528
Te 2.126 2.151 5.130
Te 2.126 -2.151 6.187
Te 2.126 -2.151 10.789
Te 2.126 -6.919 8.488
```

Crystal system: orthorhombic
Calculated total energy: -46.6 eV for the cell shown
Total magnetization: 0.0 μB/cell

---

A relaxed SmTlIn crystal. Source: OQMD, functional GGA-PBE.

Geometry as extended XYZ:
```
3
Lattice="0.000 3.588 3.588 3.588 0.000 3.588 3.588 3.588 0.000" Properties=species:S:1:pos:R:3 pbc="T T T"
Sm 0.000 0.000 0.000
Tl 5.382 5.382 5.382
In 3.588 3.588 3.588
```

Crystal system: cubic
Calculated total energy: -10.3 eV for the cell shown
Total magnetization: 0.0 μB/cell
Distance to the lowest polymorph of the same formula: 0.0 meV per atom

---

A relaxed MgScSbOs crystal. Source: OQMD, functional GGA-PBE.

Geometry as extended XYZ:
```
4
Lattice="0.000 3.286 3.286 3.286 0.000 3.286 3.286 3.286 0.000" Properties=species:S:1:pos:R:3 pbc="T T T"
Mg 0.000 0.000 0.000
Sc 4.928 4.928 4.928
Sb 1.643 1.643 1.643
Os 3.286 3.286 3.286
```

Crystal system: cubic
Calculated total energy: -23.9 eV for the cell shown
Total magnetization: 0.0 μB/cell
Distance to the lowest polymorph of the same formula: 0.0 meV per atom

---

A relaxed BaAgTeO crystal. Source: OQMD, functional GGA-PBE.

Geometry as extended XYZ:
```
8
Lattice="1.822 -8.302 0.000 1.822 8.302 0.000 0.000 0.000 6.520" Properties=species:S:1:pos:R:3 pbc="T T T"
Ba 1.822 6.432 4.890
Ba 1.822 -6.432 1.630
Ag 1.822 1.097 4.890
Ag 1.822 -1.097 1.630
Te 1.822 5.039 1.630
Te 1.822 -5.039 4.890
O 0.000 0.000 0.000
O 0.000 0.000 3.260
```

Crystal system: orthorhombic
Calculated total energy: -32.2 eV for the cell shown

---

A relaxed LuGaNiW crystal. Source: OQMD, functional GGA-PBE.

Geometry as extended XYZ:
```
4
Lattice="0.000 3.249 3.249 3.249 0.000 3.249 3.249 3.249 0.000" Properties=species:S:1:pos:R:3 pbc="T T T"
Lu 0.000 0.000 0.000
Ga 1.625 1.625 1.625
Ni 3.249 3.249 3.249
W 4.874 4.874 4.874
```

Crystal system: cubic
Calculated total energy: -24.2 eV for the cell shown
Total magnetization: 2.7 μB/cell

---

A relaxed Pr3FePb crystal. Source: OQMD, functional GGA-PBE.

Geometry as extended XYZ:
```
5
Lattice="5.264 0.000 0.000 0.000 5.264 0.000 -0.003 0.000 5.294" Properties=species:S:1:pos:R:3 pbc="T T T"
Pr 0.000 0.000 0.000
Pr 0.004 2.632 2.633
Pr 2.632 0.000 2.632
Fe 5.252 0.000 2.763
Pb 2.631 2.632 0.011
```

Crystal system: monoclinic
Calculated total energy: -27.0 eV for the cell shown
Total magnetization: 0.0 μB/cell